First-principles (PBE-GGA) data for a relaxed structure of TaHgSe2, as listed in Alexandria via LeMat-Bulk.

```
TaHgSe2
1.0
3.485 0.000 0.000
-1.743 3.018 0.000
0.000 0.000 10.055
Ta Hg Se
1 1 2
Direct
0.000 0.000 0.000 Ta
0.333 0.667 0.480 Hg
0.333 0.667 0.834 Se
0.667 0.333 0.166 Se
```

E_tot: -21.46 eV/f.u.
formation energy without anion corrections: -0.5852 eV per atom
size of the total moment: 0.000 μB/f.u.
crystal system: trigonal


First-principles (PBE-GGA) data for a relaxed structure of Ta3HgSe, as listed in Alexandria via LeMat-Bulk.

```
Ta3HgSe
1.0
4.742 0.000 0.000
0.000 4.742 0.000
0.000 0.000 4.742
Ta Hg Se
3 1 1
Direct
0.000 0.000 0.500 Ta
0.000 0.500 0.000 Ta
0.500 0.000 0.000 Ta
0.500 0.500 0.500 Hg
0.000 0.000 0.000 Se
```

E_tot: -34.44 eV/f.u.
offset from the most stable computed form: 0 meV/atom
formation energy without anion corrections: 0.9817 eV per atom
size of the total moment: 0.000 μB/f.u.
crystal system: cubic